No. 1
Below is crystalline Nd8CoAg2 at its relaxed geometry, with properties calculated at the PBE-GGA level.

The structure in POSCAR format:
```
Nd8CoAg2
1.0
9.300 -2.416 0.000
9.300 2.416 0.000
-0.242 0.000 7.322
Nd Co Ag
8 1 2
Cartesian
0.020 0.000 2.009
3.857 0.000 6.025
6.588 0.000 3.623
7.542 0.000 0.047
10.816 0.000 7.275
11.770 0.000 3.699
14.500 0.000 1.297
18.338 0.000 5.313
9.179 0.000 3.661
3.297 0.000 1.814
15.061 0.000 5.508
```

The formation energy comes out at -65.0 meV per atom. The excess energy over the best structure of this formula in the dataset is 0.0 kJ/mol of atoms. For the uncorrected energy, the calculation gives -51.7 eV/cell. The crystal system is monoclinic. The value obtained for the calculated density is 7.21 Mg/m³.

No. 2
Below is crystalline Na2SrHg at its relaxed geometry, with properties calculated at the PBE-GGA level.

The structure in POSCAR format:
```
Na2SrHg
1.0
4.754 0.000 0.000
0.000 11.707 0.000
0.000 0.000 9.988
Na Sr Hg
8 4 4
Cartesian
0.000 1.785 0.540
0.000 1.785 4.454
0.000 9.922 5.534
0.000 9.922 9.448
2.377 4.069 5.534
2.377 4.069 9.448
2.377 7.638 0.540
2.377 7.638 4.454
0.000 5.224 2.497
0.000 6.483 7.491
2.377 0.630 7.491
2.377 11.077 2.497
0.000 3.032 7.491
0.000 8.674 2.497
2.377 2.821 2.497
2.377 8.886 7.491
```

The formation energy comes out at -217.6 meV per atom. For the uncorrected energy, the calculation gives -22.0 eV/cell. The crystal system is orthorhombic. The value obtained for the calculated density is 3.99 Mg/m³.

No. 3
Below is crystalline SrCeSm2As4 at its relaxed geometry, with properties calculated at the PBE-GGA level.

The structure in POSCAR format:
```
SrCeSm2As4
1.0
7.388 0.000 0.000
0.000 4.270 0.000
-2.413 0.000 6.991
Sr Ce Sm As
1 1 2 4
Cartesian
0.000 0.000 0.000
3.694 2.135 0.000
-1.207 2.135 3.495
2.487 0.000 3.495
0.106 0.000 5.233
1.342 2.135 1.796
3.633 2.135 5.194
4.869 0.000 1.757
```

The formation energy comes out at -1374.8 meV per atom. For the uncorrected energy, the calculation gives -46.7 eV/cell. The crystal system is monoclinic. The value obtained for the calculated density is 6.24 Mg/m³.

No. 4
Below is crystalline V3Bi2 at its relaxed geometry, with properties calculated at the PBE-GGA level.

The structure in POSCAR format:
```
V3Bi2
1.0
10.123 0.000 0.000
0.000 10.123 0.000
0.000 0.000 4.001
V Bi
12 8
Cartesian
0.000 0.000 0.000
0.000 5.062 0.000
0.632 1.673 2.001
1.673 9.491 2.001
3.523 5.903 0.000
4.221 3.523 0.000
5.062 0.000 0.000
5.062 5.062 2.001
5.903 6.600 0.000
6.600 4.221 0.000
8.450 0.632 2.001
9.491 8.450 2.001
1.189 7.535 0.000
2.126 4.281 2.001
2.588 1.189 0.000
4.281 7.998 2.001
5.843 2.126 2.001
7.535 8.934 0.000
7.998 5.843 2.001
8.934 2.588 0.000
```

The formation energy comes out at 294.1 meV per atom. For the uncorrected energy, the calculation gives -134.6 eV/cell. The crystal system is tetragonal. The value obtained for the calculated density is 9.25 Mg/m³.

No. 5
Below is crystalline Dy4Y5Tl at its relaxed geometry, with properties calculated at the PBE-GGA level.

The structure in POSCAR format:
```
Dy4Y5Tl
1.0
-5.317 5.317 2.911
5.317 -5.317 2.911
5.317 5.317 -2.911
Dy Y Tl
4 5 1
Cartesian
3.396 0.000 0.000
7.238 0.000 0.000
0.000 3.396 0.000
0.000 7.238 0.000
3.344 3.344 0.021
1.973 -1.973 2.933
-1.973 1.973 2.933
1.973 1.973 2.933
0.000 0.000 4.685
0.000 0.000 1.656
```

The formation energy comes out at 141.5 meV per atom. The excess energy over the best structure of this formula in the dataset is 8.4 kJ/mol of atoms. For the uncorrected energy, the calculation gives -51.7 eV/cell. The crystal system is tetragonal. The value obtained for the calculated density is 6.55 Mg/m³.

No. 6
Below is crystalline SrLiTc2 at its relaxed geometry, with properties calculated at the PBE-GGA level.

The structure in POSCAR format:
```
SrLiTc2
1.0
6.585 0.000 0.000
0.000 6.585 0.000
0.000 0.000 6.585
Sr Li Tc
4 4 8
Cartesian
0.000 0.000 0.000
0.000 3.293 3.293
3.293 0.000 3.293
3.293 3.293 0.000
1.646 1.646 1.646
1.646 4.939 4.939
4.939 1.646 4.939
4.939 4.939 1.646
0.000 0.000 3.293
0.000 3.293 0.000
1.646 1.646 4.939
1.646 4.939 1.646
3.293 0.000 0.000
3.293 3.293 3.293
4.939 1.646 1.646
4.939 4.939 4.939
```

The formation energy comes out at 675.6 meV per atom. The excess energy over the best structure of this formula in the dataset is 29.8 kJ/mol of atoms. For the uncorrected energy, the calculation gives -86.5 eV/cell. The crystal system is cubic. The value obtained for the calculated density is 6.76 Mg/m³.

No. 7
Below is crystalline LiNdScPt2 at its relaxed geometry, with properties calculated at the PBE-GGA level.

The structure in POSCAR format:
```
LiNdScPt2
1.0
4.047 0.000 0.000
0.000 4.047 0.000
0.000 0.000 12.559
Li Nd Sc Pt
2 2 2 4
Cartesian
0.000 0.000 0.000
2.023 2.023 6.279
0.000 2.023 3.140
2.023 0.000 9.419
0.000 0.000 6.279
2.023 2.023 0.000
0.000 2.023 8.041
0.000 2.023 10.797
2.023 0.000 1.762
2.023 0.000 4.518
```

The formation energy comes out at -921.2 meV per atom. For the uncorrected energy, the calculation gives -59.4 eV/cell. The crystal system is tetragonal. The value obtained for the calculated density is 9.47 Mg/m³.

No. 8
Below is crystalline Ca2FeRu at its relaxed geometry, with properties calculated at the PBE-GGA level.

The structure in POSCAR format:
```
Ca2FeRu
1.0
6.970 0.000 0.000
0.000 6.970 0.000
0.000 0.000 6.970
Ca Fe Ru
8 4 4
Cartesian
1.742 1.742 1.742
1.742 1.742 5.227
1.742 5.227 1.742
1.742 5.227 5.227
5.227 1.742 1.742
5.227 1.742 5.227
5.227 5.227 1.742
5.227 5.227 5.227
0.000 0.000 0.000
0.000 3.485 3.485
3.485 0.000 3.485
3.485 3.485 0.000
0.000 0.000 3.485
0.000 3.485 0.000
3.485 0.000 0.000
3.485 3.485 3.485
```

The formation energy comes out at 583.9 meV per atom. The excess energy over the best structure of this formula in the dataset is 35.0 kJ/mol of atoms. For the uncorrected energy, the calculation gives -77.6 eV/cell. The crystal system is cubic. The value obtained for the calculated density is 4.65 Mg/m³.